Here is a geometry-optimized Zr2VO2 structure from Alexandria. Energies are from GGA+U.

```
5
Lattice="3.637 0.000 0.000 0.000 3.637 0.000 1.819 1.819 6.114" Properties=species:S:1:pos:R:3 pbc="T T T"
Zr 1.819 1.819 1.859
Zr 3.637 3.637 4.255
O 3.637 1.819 3.057
O 1.819 3.637 3.057
V 0.000 0.000 0.000
```

Results
Volume, Å³ per cell: 81
E above lowest polymorph, eV per atom: 0.000
Space group: No. 139
Magnetic moment, μB per formula unit: 4.8
N(E_F), states/eV per atom: 0.425
Final energy, Ry per atom: -0.61546